[1]
DFT (PBE-GGA) results for a relaxed structure of K2InGaS.

Cell lengths 6.7503, 6.7503, 4.6317 Å; angles 90.00, 90.00, 90.00 degrees
Space group P4/mmm (No. 123)
Inequivalent atoms, fractional coordinates:
K  0.0000  0.5000  0.0000 x2
In  0.0000  0.0000  0.5000 x1
Ga  0.5000  0.5000  0.0000 x1
S  0.5000  0.5000  0.5000 x1

Summary:
N(E_F) in states/eV/f.u.: 4.99
Calculated total energy in eV/atom: -2.3452

[2]
DFT (PBE-GGA) results for a relaxed structure of K2InGaSb2.

Cell lengths 7.4268, 15.3136, 7.3825 Å; angles 90.00, 90.00, 90.00 degrees
Space group Ibam (No. 72)
Inequivalent atoms, fractional coordinates:
K  0.2419  0.1665  0.0000 x8
In  0.0000  0.5000  0.2500 x4
Ga  0.0000  0.0000  0.2500 x4
Sb  0.2359  0.0934  0.5000 x8

Summary:
N(E_F) in states/eV/f.u.: 1.88
Calculated total energy in eV/atom: -3.0313